# 1
Entry from Alexandria: a relaxed structure of Cd3Si (PBEsol).

Uncorrected formation energy in meV/atom: 296
Raw total energy in eV/atom: -2.038
Symmetry: R-3m (166)

a = 5.855 Å, b = 5.855 Å, c = 5.855 Å
α = 117.51°, β = 117.51°, γ = 117.51°
Fractional positions:
Cd1 0.000 0.500 0.500
Cd2 0.500 0.000 0.500
Cd3 0.500 0.500 0.000
Si1 0.000 0.000 0.000


# 2
Entry from Alexandria: a relaxed structure of Tl2IBr (PBEsol).

Uncorrected formation energy in meV/atom: -655
Raw total energy in eV/atom: -2.879
Symmetry: Fm-3m (225)
E above lowest polymorph in meV/atom: 0

a = 5.684 Å, b = 5.684 Å, c = 5.684 Å
α = 60.00°, β = 60.00°, γ = 60.00°
Fractional positions:
Tl1 0.250 0.250 0.250
Tl2 0.750 0.750 0.750
I1 0.000 0.000 0.000
Br1 0.500 0.500 0.500


# 3
Entry from Alexandria: a relaxed structure of NaCoAu3 (PBEsol).

Raw total energy in eV/atom: -3.731
Symmetry: Pm-3m (221)
Formation energy in meV/atom: 451

a = 4.760 Å, b = 4.760 Å, c = 4.760 Å
α = 90.00°, β = 90.00°, γ = 90.00°
Fractional positions:
Na1 0.000 0.000 0.000
Co1 0.500 0.500 0.500
Au1 0.000 0.500 0.500
Au2 0.500 0.000 0.500
Au3 0.500 0.500 0.000


# 4
Entry from Alexandria: a relaxed structure of TaNi2P (PBEsol).

Raw total energy in eV/atom: -8.355
Symmetry: Pnma (62)
Formation energy in meV/atom: -690

a = 5.925 Å, b = 3.635 Å, c = 8.971 Å
α = 90.00°, β = 90.00°, γ = 90.00°
Fractional positions:
Ta1 0.244 0.250 0.181
Ta2 0.256 0.750 0.681
Ta3 0.744 0.250 0.319
Ta4 0.756 0.750 0.819
Ni1 0.055 0.750 0.405
Ni2 0.167 0.750 0.971
Ni3 0.333 0.250 0.471
Ni4 0.445 0.250 0.905
Ni5 0.555 0.750 0.095
Ni6 0.667 0.750 0.529
Ni7 0.833 0.250 0.029
Ni8 0.945 0.250 0.595
P1 0.073 0.250 0.838
P2 0.427 0.750 0.338
P3 0.573 0.250 0.662
P4 0.927 0.750 0.162


# 5
Entry from Alexandria: a relaxed structure of MoWO6 (PBEsol).

Uncorrected formation energy in meV/atom: -2025
Raw total energy in eV/atom: -9.159
Symmetry: Cm (8)
E above lowest polymorph in meV/atom: 0

a = 5.395 Å, b = 5.395 Å, c = 5.420 Å
α = 119.90°, β = 119.90°, γ = 60.05°
Fractional positions:
Mo1 0.000 0.000 0.000
W1 0.500 0.500 0.498
O1 0.230 0.729 0.190
O2 0.230 0.735 0.694
O3 0.231 0.231 0.193
O4 0.729 0.230 0.190
O5 0.733 0.733 0.689
O6 0.735 0.230 0.694


# 6
Entry from Alexandria: a relaxed structure of SrTaHg (PBEsol).

Raw total energy in eV/atom: -3.739
Symmetry: F-43m (216)
Formation energy in meV/atom: 1247

a = 4.838 Å, b = 4.838 Å, c = 4.838 Å
α = 60.00°, β = 60.00°, γ = 60.00°
Fractional positions:
Sr1 0.000 0.000 0.000
Ta1 0.750 0.750 0.750
Hg1 0.500 0.500 0.500